[1]
4
Lattice="-0.451 0.817 2.825 2.515 -1.568 -0.258 5.149 8.529 -1.646" Properties=species:S:1:pos:R:3 comment="SrTa2Mo, optimized geometry, DFT PBE" dos_at_fermi_per_ev_fu=4.71 total_energy_ev_per_atom=-8.444 pbc="T T T"
Sr 4.830 5.915 0.069
Ta 2.376 1.851 0.853
Mo 2.386 3.952 -0.762
Ta 0.196 0.325 -0.063

[2]
4
Lattice="4.257 0.000 0.000 2.129 3.687 0.000 2.129 1.229 7.696" Properties=species:S:1:pos:R:3 comment="Tb2CdSb, optimized geometry, DFT PBE" dos_at_fermi_per_ev_fu=4.10 total_energy_ev_per_atom=-4.137 pbc="T T T"
Tb 6.386 3.687 5.903
Sb 0.000 0.000 0.000
Cd 4.257 2.458 3.848
Tb 2.129 1.229 1.793

[3]
30
Lattice="6.569 0.000 0.000 0.000 6.569 0.000 0.000 0.000 25.090" Properties=species:S:1:pos:R:3 comment="Pm12YEr2, optimized geometry, DFT PBE" dos_at_fermi_per_ev_fu=20.77 total_energy_ev_per_atom=-4.482 pbc="T T T"
Pm 3.285 3.285 8.347
Pm 1.644 4.929 2.794
Pm 3.285 3.285 16.743
Pm 0.000 0.000 8.347
Pm 1.641 4.925 22.296
Pm 2.183 1.101 14.110
Pm 5.468 4.386 10.980
Pm 4.925 4.929 22.296
Pm 1.644 1.641 22.296
Pm 4.929 1.644 22.296
Er 0.000 3.285 18.781
Pm 3.285 3.285 5.292
Pm 5.468 2.183 14.110
Er 0.000 3.285 6.309
Pm 2.183 5.468 10.980
Pm 1.641 1.644 2.794
Pm 4.925 1.641 2.794
Y 0.000 3.285 0.000
Pm 0.000 0.000 19.798
Pm 1.101 4.386 14.110
Pm 4.386 1.101 10.980
Pm 0.000 0.000 16.743
Pm 4.929 4.925 2.794
Pm 1.101 2.183 10.980
Er 3.285 0.000 6.309
Y 3.285 0.000 0.000
Er 3.285 0.000 18.781
Pm 0.000 0.000 5.292
Pm 4.386 5.468 14.110
Pm 3.285 3.285 19.798